(1)
Computed, not measured: a geometry-optimized Er2BiIO8 structure at the PBE level of DFT.

```
Er2BiIO8
1.0
5.0228 -0.0302 -0.0030
0.0000 5.0221 -0.0055
0.0042 0.0076 6.9263
I Er O Bi
1 2 8 1
direct
0.0000 0.0000 0.0000
0.5000 0.5000 0.2512
0.5000 0.5000 0.7488
0.8165 0.1842 0.2023
0.1835 0.8158 0.7977
0.1835 0.8158 0.2023
0.7296 0.7305 0.0000
0.6831 0.6830 0.5000
0.8165 0.1842 0.7977
0.3169 0.3170 0.5000
0.2704 0.2695 0.0000
0.0000 0.0000 0.5000
```

## Properties
Space-group type: Cmmm (65)

=====

(2)
Computed, not measured: a geometry-optimized LaAg2Ir2 structure at the PBE level of DFT.

```
LaAg2Ir2
1.0
4.1492 0.0000 0.0000
0.0000 4.1492 0.0000
2.0746 2.0746 6.0998
Ag Ir La
2 2 1
direct
0.7500 0.2500 0.5000
0.2500 0.7500 0.5000
0.4029 0.4029 0.1942
0.5971 0.5971 0.8058
0.0000 0.0000 0.0000
```

## Properties
E above lowest polymorph (eV/atom): 0.000
E_form (eV per atom): -0.07
Space-group type: I4/mmm (139)

=====

(3)
Computed, not measured: a geometry-optimized TcHgGeOsW structure at the PBE level of DFT.

```
TcHgGeOsW
1.0
-1.4883 1.2022 -2.2189
2.1078 -4.1230 -1.7825
-5.1395 -2.6334 2.1318
Ge Os Hg Tc W
1 1 1 1 1
direct
0.7844 0.4272 0.9980
0.4479 0.7554 0.7752
0.5165 0.9627 0.2293
0.8398 0.5334 0.4454
0.1244 0.1673 0.6337
```

## Properties
E above lowest polymorph (eV/atom): 0.169
E_form (eV per atom): 0.37
Space-group type: P1 (1)

=====

(4)
Computed, not measured: a geometry-optimized NiH3Pd structure at the PBE level of DFT.

```
NiH3Pd
1.0
-1.5090 -0.4071 -2.8830
-0.1268 -3.2349 0.5232
-2.9088 0.3522 1.4728
H Ni Pd
3 1 1
direct
0.0000 0.0000 0.5000
0.0000 0.5000 0.0000
0.5000 0.0000 0.0000
0.0000 0.0000 0.0000
0.5000 0.5000 0.5000
```

## Properties
E above lowest polymorph (eV/atom): 0.099
Space-group type: Pm-3m (221)

=====

(5)
Computed, not measured: a geometry-optimized Tb3PrHo6Er2 structure at the PBE level of DFT.

```
Tb3PrHo6Er2
1.0
6.1364 0.0016 0.0159
-3.0653 5.3160 0.0159
-1.0479 -1.8144 11.5613
Ho Tb Pr Er
6 3 1 2
direct
0.9159 0.5816 0.7493
0.4184 0.0841 0.2507
0.5816 0.9159 0.7493
0.7496 0.7496 0.2505
0.0841 0.4184 0.2507
0.2504 0.2504 0.7495
0.1670 0.8330 0.5000
0.5000 0.5000 0.5000
0.8330 0.1670 0.5000
0.0000 0.0000 0.0000
0.6667 0.3333 0.0000
0.3333 0.6667 0.0000
```

## Properties
E_form (eV per atom): 0.02
Space-group type: C2/m (12)

=====

(6)
Computed, not measured: a geometry-optimized LaTb3Dy structure at the PBE level of DFT.

```
LaTb3Dy
1.0
-3.3505 2.2983 -4.7167
9.2389 0.4267 -2.2388
-5.2811 -7.4011 2.8855
Tb La Dy
6 2 2
direct
0.3484 0.6984 0.2483
0.6516 0.3016 0.7517
0.2535 0.4987 0.7517
0.1515 0.2993 0.2477
0.7465 0.5013 0.2483
0.8485 0.7007 0.7523
0.5504 0.0993 0.2511
0.4496 0.9007 0.7489
0.9487 0.8983 0.2511
0.0513 0.1017 0.7489
```

## Properties
E above lowest polymorph (eV/atom): 0.000
E_form (eV per atom): 0.03
Space-group type: P-1 (2)

=====

(7)
Computed, not measured: a geometry-optimized KOs2Rh structure at the PBE level of DFT.

```
KOs2Rh
1.0
-3.8840 3.7678 0.4643
-0.6554 -4.1225 -3.4745
-1.1414 -1.4091 1.8873
Rh Os K
1 2 1
direct
0.5000 0.0000 0.5000
0.0000 0.0000 0.0000
0.5000 0.5000 0.0000
0.0000 0.5000 0.5000
```

## Properties
E above lowest polymorph (eV/atom): 0.703
E_form (eV per atom): 1.36
Space-group type: Cmmm (65)

=====

(8)
Computed, not measured: a geometry-optimized EuPuTlCu structure at the PBE level of DFT.

```
EuPuTlCu
1.0
-2.1213 -4.0109 -2.7896
1.1128 -5.0399 1.3154
-3.7588 -3.0725 2.1911
Cu Pu Tl Eu
1 1 1 1
direct
0.7500 0.7500 0.7500
0.5000 0.5000 0.5000
0.2500 0.2500 0.2500
0.0000 0.0000 0.0000
```

## Properties
E_form (eV per atom): 0.03
Space-group type: F-43m (216)

=====

(9)
Computed, not measured: a geometry-optimized Sr4NF2 structure at the PBE level of DFT.

```
Sr4NF2
1.0
5.2773 0.0000 0.0000
0.0000 5.2773 0.0000
2.6387 2.6387 6.3295
F N Sr
2 1 4
direct
0.4010 0.4010 0.1980
0.5990 0.5990 0.8020
0.0000 0.0000 0.0000
0.0000 0.5000 0.0000
0.2120 0.2120 0.5760
0.5000 0.0000 0.0000
0.7880 0.7880 0.4240
```

## Properties
Space-group type: I4/mmm (139)

=====

(10)
Computed, not measured: a geometry-optimized Rb2TlGa2F6 structure at the PBE level of DFT.

```
Rb2TlGa2F6
1.0
6.5959 0.0000 0.0000
-3.2980 5.4287 -0.4838
0.0000 -3.7246 7.1621
F Rb Ga Tl
6 2 2 1
direct
0.7950 0.5900 0.5332
0.1723 0.8936 0.1987
0.2787 0.1064 0.8013
0.7213 0.8936 0.1987
0.2050 0.4100 0.4668
0.8277 0.1064 0.8013
0.7084 0.4167 0.1494
0.2916 0.5833 0.8506
0.0604 0.1208 0.1928
0.9396 0.8792 0.8072
0.5000 0.0000 0.5000
```

## Properties
Space-group type: C2/m (12)

=====

(11)
Computed, not measured: a geometry-optimized Hf3CrAu structure at the PBE level of DFT.

```
Hf3CrAu
1.0
4.7623 0.0000 0.0000
0.0000 4.7623 0.0000
0.0000 0.0000 4.7623
Cr Hf Au
1 3 1
direct
0.0000 0.0000 0.0000
0.0000 0.5000 0.0000
0.5000 0.0000 0.0000
0.0000 0.0000 0.5000
0.5000 0.5000 0.5000
```

## Properties
E above lowest polymorph (eV/atom): 0.000
E_form (eV per atom): 0.51
Space-group type: Pm-3m (221)

=====

(12)
Computed, not measured: a geometry-optimized Pr4BCl2O structure at the PBE level of DFT.

```
Pr4BCl2O
1.0
3.8660 0.0000 0.0000
0.0000 6.5237 0.0595
0.0000 -2.3658 7.1839
Cl Pr O B
2 4 1 1
direct
0.5000 0.0000 0.5000
0.0000 0.5000 0.5000
0.0000 0.2566 0.8038
0.0000 0.7434 0.1962
0.5000 0.2279 0.1923
0.5000 0.7721 0.8077
0.0000 0.0000 0.0000
0.5000 0.5000 0.0000
```

## Properties
Space-group type: P2/m (10)

=====

(13)
Computed, not measured: a geometry-optimized AgIr2W structure at the PBE level of DFT.

```
AgIr2W
1.0
-2.4177 0.0335 1.4699
-0.9062 -2.2618 -1.4388
3.2265 -4.7374 5.4150
W Ag Ir
1 1 2
direct
0.5000 0.5000 0.2500
0.5000 0.5000 0.7500
0.0000 0.0000 0.4801
0.0000 0.0000 0.0199
```

## Properties
E above lowest polymorph (eV/atom): 0.000
E_form (eV per atom): 0.00
Space-group type: P4/mmm (123)

=====

(14)
Computed, not measured: a geometry-optimized Ho2MnZn structure at the PBE level of DFT.

```
Ho2MnZn
1.0
-0.2173 3.9807 2.9889
-3.7954 0.5188 3.1862
0.7689 -0.5157 4.8958
Zn Ho Mn
1 2 1
direct
0.5000 0.5000 0.5000
0.2500 0.2500 0.2500
0.7500 0.7500 0.7500
0.0000 0.0000 0.0000
```

## Properties
E above lowest polymorph (eV/atom): 0.033
E_form (eV per atom): -0.05
Space-group type: Fm-3m (225)

=====

(15)
Computed, not measured: a geometry-optimized LiYSb2 structure at the PBE level of DFT.

```
LiYSb2
1.0
-2.8766 -2.4318 1.8404
3.3551 -1.5993 3.1308
-1.1140 3.6211 3.0435
Sb Y Li
2 1 1
direct
0.0000 0.5000 0.5000
0.0000 0.0000 0.0000
0.5000 0.5000 0.0000
0.5000 0.0000 0.5000
```

## Properties
E above lowest polymorph (eV/atom): 0.142
Space-group type: P4/mmm (123)

=====

(16)
Computed, not measured: a geometry-optimized KMgTl4 structure at the PBE level of DFT.

```
KMgTl4
1.0
-1.9584 2.1195 5.9012
-4.2343 -3.5694 3.5331
2.0337 -3.0765 5.4361
Tl Mg K
4 1 1
direct
0.3745 0.8764 0.3745
0.3745 0.3745 0.8764
0.8764 0.3745 0.3745
0.3745 0.3745 0.3745
0.0000 0.0000 0.0000
0.7500 0.7500 0.7500
```

## Properties
E above lowest polymorph (eV/atom): 0.111
E_form (eV per atom): 0.06
Space-group type: F-43m (216)

=====

(17)
Computed, not measured: a geometry-optimized Na4ZnHg7 structure at the PBE level of DFT.

```
Na4ZnHg7
1.0
-3.3898 0.9385 4.0054
-2.8670 -7.0716 2.7776
3.8012 -2.4417 7.3361
Na Hg Zn
4 7 1
direct
0.5642 0.6069 0.2647
0.2606 0.2318 0.2470
0.4358 0.3931 0.7353
0.7394 0.7682 0.7530
0.0812 0.1897 0.6479
0.9188 0.8103 0.3521
0.6839 0.1782 0.4540
0.8082 0.3663 0.0173
0.5000 0.0000 0.0000
0.3161 0.8218 0.5460
0.1918 0.6337 0.9827
0.0000 0.0000 0.0000
```

## Properties
E_form (eV per atom): -0.16
Space-group type: C2/m (12)

=====

(18)
Computed, not measured: a geometry-optimized Na4CuOs3O12 structure at the PBE level of DFT.

```
Na4CuOs3O12
1.0
-4.5332 2.4498 4.3323
4.4882 -3.7523 3.3312
3.1635 5.0952 -3.0579
Cu O Na Os
1 12 4 3
direct
0.0000 0.0000 0.0000
0.0000 0.2603 0.2603
0.2500 0.5000 0.7500
0.7397 0.7397 0.0000
0.2603 0.0000 0.2603
0.7397 0.0000 0.7397
0.2500 0.7500 0.5000
0.0000 0.7397 0.7397
0.2603 0.2603 0.0000
0.5000 0.2500 0.7500
0.5000 0.7500 0.2500
0.7500 0.5000 0.2500
0.7500 0.2500 0.5000
0.0000 0.0000 0.5000
0.0000 0.5000 0.0000
0.5000 0.5000 0.5000
0.5000 0.0000 0.0000
0.5000 0.0000 0.5000
0.5000 0.5000 0.0000
0.0000 0.5000 0.5000
```

## Properties
Space-group type: Im-3m (229)

=====

(19)
Computed, not measured: a geometry-optimized RbErCuI6 structure at the PBE level of DFT.

```
RbErCuI6
1.0
-6.4566 -2.2089 -2.8894
-0.9652 -6.0786 -6.0356
-0.4374 -4.3867 6.7640
Er I Rb Cu
1 6 1 1
direct
0.6367 0.6819 0.5007
0.3745 0.9869 0.7796
0.3707 0.6394 0.2231
0.6516 0.3750 0.6517
0.0383 0.3850 0.2695
0.0424 0.5759 0.7294
0.6469 0.9749 0.3470
0.8920 0.0533 0.0003
0.3466 0.3277 0.4988
```

## Properties
Space-group type: P1 (1)

=====

(20)
Computed, not measured: a geometry-optimized LiPrMg4 structure at the PBE level of DFT.

```
LiPrMg4
1.0
-0.9784 3.8556 -1.8392
-7.0879 -0.3179 3.1041
2.9226 4.1267 7.0961
Pr Mg Li
2 8 2
direct
0.0000 0.6166 0.7500
0.0000 0.3834 0.2500
0.5000 0.6913 0.0530
0.5000 0.3087 0.5530
0.5000 0.3087 0.9470
0.0000 0.0000 0.5000
0.5000 0.9430 0.7500
0.0000 0.0000 0.0000
0.5000 0.0570 0.2500
0.5000 0.6913 0.4470
0.0000 0.2061 0.7500
0.0000 0.7939 0.2500
```

## Properties
E above lowest polymorph (eV/atom): 0.017
E_form (eV per atom): -0.05
Space-group type: Pmma (51)

=====

(21)
Computed, not measured: a geometry-optimized Ac2Ag15Sn2 structure at the PBE level of DFT.

```
Ac2Ag15Sn2
1.0
-3.4533 3.2218 5.7735
2.5471 -4.6927 5.2086
5.7624 4.2146 2.1613
Ac Sn Ag
2 2 15
direct
0.3448 0.3448 0.3448
0.6552 0.6552 0.6552
0.8984 0.8984 0.8984
0.1016 0.1016 0.1016
0.0000 0.5000 0.0000
0.3479 0.3479 0.8394
0.3479 0.8394 0.3479
0.3079 0.0000 0.6921
0.0000 0.0000 0.5000
0.5000 0.0000 0.0000
0.3079 0.6921 0.0000
0.1606 0.6521 0.6521
0.0000 0.6921 0.3079
0.6521 0.1606 0.6521
0.6921 0.3079 0.0000
0.8394 0.3479 0.3479
0.6921 0.0000 0.3079
0.0000 0.3079 0.6921
0.6521 0.6521 0.1606
```

## Properties
E_form (eV per atom): -0.12
Space-group type: R-3m (166)

=====

(22)
Computed, not measured: a geometry-optimized ErPu2Si3Pt4 structure at the PBE level of DFT.

```
ErPu2Si3Pt4
1.0
-1.9638 -2.3375 -2.8435
3.6524 -0.8362 -1.8350
1.2138 -8.8833 6.4642
Pu Er Pt Si
2 1 4 3
direct
0.5000 0.0000 0.2325
0.0000 0.5000 0.7675
0.5000 0.5000 0.5000
0.0000 0.5000 0.3381
0.5000 0.5000 0.0000
0.0000 0.0000 0.0000
0.5000 0.0000 0.6619
0.5000 0.0000 0.8782
0.0000 0.0000 0.5000
0.0000 0.5000 0.1218
```

## Properties
Space-group type: P-4m2 (115)

=====

(23)
Computed, not measured: a geometry-optimized Pm3Tm2PaAs6 structure at the PBE level of DFT.

```
Pm3Tm2PaAs6
1.0
7.1774 -0.0015 0.0014
-3.5882 6.2161 0.0014
-1.1957 -2.0703 6.8041
Pa Tm As Pm
1 2 6 3
direct
0.0000 0.0000 0.0000
0.6664 0.3336 0.0000
0.3336 0.6664 0.0000
0.0791 0.4100 0.2378
0.9209 0.5900 0.7622
0.4100 0.0791 0.2378
0.5900 0.9209 0.7622
0.2514 0.2514 0.7629
0.7486 0.7486 0.2371
0.1676 0.8324 0.5000
0.8324 0.1676 0.5000
0.5000 0.5000 0.5000
```

## Properties
E_form (eV per atom): -1.45
Space-group type: C2/m (12)

=====

Number 1: V 14.560 A^3/atom, final energy -6.380 eV/atom. Number 2: V 21.002 A^3/atom, final energy -5.737 eV/atom. Number 3: V 17.002 A^3/atom, final energy -7.522 eV/atom. Number 4: V 7.054 A^3/atom, final energy -4.123 eV/atom. Number 5: V 31.463 A^3/atom, final energy -4.587 eV/atom. Number 6: V 32.918 A^3/atom, final energy -4.658 eV/atom. Number 7: V 16.770 A^3/atom, final energy -6.365 eV/atom. Number 8: V 26.712 A^3/atom, final energy -7.733 eV/atom. Number 9: V 25.183 A^3/atom, final energy -4.369 eV/atom. Number 10: V 22.234 A^3/atom, final energy -4.176 eV/atom. Number 11: V 21.601 A^3/atom, final energy -8.043 eV/atom. Number 12: V 22.716 A^3/atom, final energy -5.815 eV/atom. Number 13: V 15.784 A^3/atom, final energy -8.379 eV/atom. Number 14: V 21.867 A^3/atom, final energy -4.952 eV/atom. Number 15: V 24.751 A^3/atom, final energy -4.813 eV/atom. Number 16: V 33.407 A^3/atom, final energy -1.969 eV/atom. Number 17: V 26.518 A^3/atom, final energy -0.880 eV/atom. Number 18: V 11.743 A^3/atom, final energy -6.255 eV/atom. Number 19: V 45.734 A^3/atom, final energy -3.041 eV/atom. Number 20: V 24.644 A^3/atom, final energy -2.226 eV/atom. Number 21: V 21.468 A^3/atom, final energy -3.229 eV/atom. Number 22: V 19.239 A^3/atom, final energy -8.241 eV/atom. Number 23: V 25.298 A^3/atom, final energy -6.502 eV/atom.